(1)
## SrCa3Cl8 (PBE)

Data for a relaxed SrCa3Cl8 crystal.

extended XYZ file:
```
12
Lattice="8.724 -2.745 0.000 8.724 2.745 0.000 -2.015 0.000 8.735" Properties=species:S:1:pos:R:3 pbc="T T T"
Sr 0.000 0.000 0.000
Ca 9.265 0.000 3.758
Ca 12.029 0.000 0.251
Ca 14.658 0.000 3.565
Cl 0.082 0.000 3.211
Cl 2.903 0.000 0.249
Cl 6.508 0.000 3.544
Cl 9.206 0.000 0.811
Cl 9.388 0.000 6.386
Cl 11.936 0.000 3.069
Cl 14.676 0.000 0.795
Cl 14.436 0.000 6.170
```

Properties
For the uncorrected energy, the calculation gives -50.881 eV per cell. For the energy relative to the elements, uncorrected, the calculation gives -2.37 eV per atom. The value obtained for the total magnetization is 0.2 μB per formula unit.

---

(2)
## BeRhC3 (PBE)

Data for a relaxed BeRhC3 crystal.

extended XYZ file:
```
5
Lattice="3.965 0.000 0.000 0.000 3.965 0.000 0.000 0.000 3.965" Properties=species:S:1:pos:R:3 pbc="T T T"
Be 0.000 0.000 0.000
Rh 1.983 1.983 1.983
C 0.000 1.983 1.983
C 1.983 0.000 1.983
C 1.983 1.983 0.000
```

Properties
The energy above the most stable polymorph in this dataset comes out at 343 meV/atom. For the uncorrected energy, the calculation gives -25.671 eV per cell. The value obtained for the total magnetization is 0.0 μB per formula unit. For the formation enthalpy at 0 K, the calculation gives 2.616 eV per atom.